Here is YErCdAg after structural relaxation from Alexandria via LeMat-Bulk. Energies are from GGA-PBE.

Cell lengths 7.359, 7.359, 7.359 Å; angles 90.00, 90.00, 90.00 degrees
Space group F-43m (No. 216)
Inequivalent atoms, fractional coordinates:
Y (0.000, 0.000, 0.000)
Er (0.000, 0.000, 0.500)
Cd (0.250, 0.250, 0.250)
Ag (0.250, 0.250, 0.750)

Calculated values
The energy above the most stable polymorph in this dataset is 12.1 meV/atom. The value obtained for the total moment is 0.0 μB per formula unit.